## w
Compound: LiY2Pu
Source: Alexandria via LeMat-Bulk
Functional: GGA-PBE
Structure: optimized geometry

a = 3.3672 Å, b = 3.3672 Å, c = 12.0901 Å
α = 82.00°, β = 82.00°, γ = 60.00°
Last column: nearest neighbours and their distance in Å.
Fractional coordinates of all 4 atoms:
Li 0.5000 0.5000 0.5000  6 Y 3.33, 6 Li 3.37
Y 0.9088 0.9088 0.2737  1 Pu 3.27, 3 Li 3.33, 6 Y 3.37
Y 0.0912 0.0912 0.7263  1 Pu 3.27, 3 Li 3.33, 6 Y 3.37
Pu 0.0000 0.0000 0.0000  2 Y 3.27, 6 Pu 3.37

Values from the calculation:
Space-group type: R-3m (166)
Spin magnetization in μB per formula unit: 6.4



## x
Compound: LiY2Pu
Source: Alexandria via LeMat-Bulk
Functional: GGA-PBE
Structure: optimized geometry

a = 3.5167 Å, b = 3.5167 Å, c = 9.0098 Å
α = 90.00°, β = 90.00°, γ = 90.00°
Last column: nearest neighbours and their distance in Å.
Fractional coordinates of all 4 atoms:
Y 0.0000 0.0000 0.7678  4 Li 3.25, 4 Pu 3.46, 4 Y 3.52
Y 0.0000 0.0000 0.2322  4 Li 3.25, 4 Pu 3.46, 4 Y 3.52
Pu 0.5000 0.5000 0.5000  8 Y 3.46, 4 Pu 3.52
Li 0.5000 0.5000 0.0000  8 Y 3.25, 4 Li 3.52

Values from the calculation:
Space-group type: P4/mmm (123)
Spin magnetization in μB per formula unit: 6.5



Tell me which of them is the least stable. Sure, it is w.



## w
Compound: LiPuZn2
Source: Alexandria via LeMat-Bulk
Functional: GGA-PBE
Structure: optimized geometry

a = 2.5560 Å, b = 2.5560 Å, c = 9.1236 Å
α = 90.00°, β = 90.00°, γ = 90.00°
Last column: nearest neighbours and their distance in Å.
Fractional coordinates of all 4 atoms:
Li 0.5000 0.5000 0.0000  4 Li 2.56, 8 Zn 2.75
Zn 0.0000 0.0000 0.2277  4 Zn 2.56, 4 Li 2.75
Zn 0.0000 0.0000 0.7723  4 Zn 2.56, 4 Li 2.75
Pu 0.5000 0.5000 0.5000  4 Pu 2.56

Values from the calculation:
Space-group type: P4/mmm (123)
Spin magnetization in μB per formula unit: 0.0



## x
Compound: LiPuZn2
Source: Alexandria via LeMat-Bulk
Functional: GGA-PBE
Structure: optimized geometry

a = 4.8356 Å, b = 4.8356 Å, c = 4.8356 Å
α = 60.00°, β = 60.00°, γ = 60.00°
Last column: nearest neighbours and their distance in Å.
Fractional coordinates of all 4 atoms:
Zn 0.2500 0.2500 0.2500  4 Li 2.96, 4 Pu 2.96
Zn 0.7500 0.7500 0.7500  4 Li 2.96, 4 Pu 2.96
Pu 0.0000 0.0000 0.0000  8 Zn 2.96
Li 0.5000 0.5000 0.5000  8 Zn 2.96

Values from the calculation:
Space-group type: Fm-3m (225)
Spin magnetization in μB per formula unit: 5.9



Tell me which of them is the least stable. Sure, it is w.



## w
Compound: Rb2Li
Source: Alexandria via LeMat-Bulk
Functional: GGA-PBE
Structure: optimized geometry

a = 8.4387 Å, b = 8.4387 Å, c = 8.4387 Å
α = 60.00°, β = 60.00°, γ = 60.00°
Last column: nearest neighbours and their distance in Å.
Fractional coordinates of all 6 atoms:
Rb 0.6250 0.6250 0.6250  6 Rb 4.22
Rb 0.6250 0.6250 0.1250  6 Rb 4.22
Rb 0.1250 0.6250 0.6250  6 Rb 4.22
Rb 0.6250 0.1250 0.6250  6 Rb 4.22
Li 0.2500 0.2500 0.2500  12 Rb 4.95, 4 Li 5.17
Li 0.0000 0.0000 0.0000  12 Rb 4.95, 4 Li 5.17

Values from the calculation:
Space-group type: Fd-3m (227)
Spin magnetization in μB per formula unit: 0.0



## x
Compound: Rb2Li
Source: Alexandria via LeMat-Bulk
Functional: GGA-PBE
Structure: optimized geometry

a = 4.7987 Å, b = 4.7987 Å, c = 9.1273 Å
α = 105.24°, β = 105.24°, γ = 90.00°
Last column: nearest neighbours and their distance in Å.
Fractional coordinates of all 3 atoms:
Li 0.0000 0.0000 0.0000  8 Rb 4.13
Rb 0.6385 0.6385 0.2770  4 Li 4.13
Rb 0.3615 0.3615 0.7230  4 Li 4.13

Values from the calculation:
Space-group type: I4/mmm (139)
Spin magnetization in μB per formula unit: 0.0



Tell me which of them is the least stable. Sure, it is w.



## w
Compound: RbLiRe2
Source: Alexandria via LeMat-Bulk
Functional: GGA-PBE
Structure: optimized geometry

a = 3.7736 Å, b = 3.7736 Å, c = 11.7585 Å
α = 80.77°, β = 80.77°, γ = 90.00°
Last column: nearest neighbours and their distance in Å.
Fractional coordinates of all 8 atoms:
Re 0.5800 0.1250 0.2500  2 Re 2.44
Re 0.3750 0.4200 0.7500  2 Re 2.44
Re 0.8750 0.8300 0.7500  2 Re 2.44
Re 0.1700 0.6250 0.2500  2 Re 2.44
Rb 0.0000 0.0000 0.0000  4 Li 2.67
Rb 0.7500 0.2500 0.5000  4 Li 2.67
Li 0.5000 0.5000 0.0000  4 Rb 2.67
Li 0.2500 0.7500 0.5000  4 Rb 2.67

Values from the calculation:
Space-group type: I-42d (122)
Spin magnetization in μB per formula unit: 0.0



## x
Compound: RbLiRe2
Source: Alexandria via LeMat-Bulk
Functional: GGA-PBE
Structure: optimized geometry

a = 4.6044 Å, b = 4.6044 Å, c = 4.6044 Å
α = 60.00°, β = 60.00°, γ = 60.00°
Last column: nearest neighbours and their distance in Å.
Fractional coordinates of all 4 atoms:
Re 0.2500 0.2500 0.2500  4 Rb 2.82, 4 Li 2.82
Re 0.7500 0.7500 0.7500  4 Rb 2.82, 4 Li 2.82
Li 0.0000 0.0000 0.0000  8 Re 2.82
Rb 0.5000 0.5000 0.5000  8 Re 2.82

Values from the calculation:
Space-group type: Fm-3m (225)
Spin magnetization in μB per formula unit: 0.0



Tell me which of them is the least stable. Sure, it is x.



## w
Compound: RbLi3Ru
Source: Alexandria via LeMat-Bulk
Functional: GGA-PBE
Structure: optimized geometry

a = 5.0444 Å, b = 5.0444 Å, c = 5.0444 Å
α = 90.00°, β = 90.00°, γ = 90.00°
Last column: nearest neighbours and their distance in Å.
Fractional coordinates of all 5 atoms:
Li 0.0000 0.0000 0.5000  2 Ru 2.52
Li 0.0000 0.5000 0.0000  2 Ru 2.52
Li 0.5000 0.0000 0.0000  2 Ru 2.52
Ru 0.0000 0.0000 0.0000  6 Li 2.52
Rb 0.5000 0.5000 0.5000  12 Li 3.57

Values from the calculation:
Space-group type: Pm-3m (221)
Spin magnetization in μB per formula unit: 0.3



## x
Compound: RbLi3Ru
Source: Alexandria via LeMat-Bulk
Functional: GGA-PBE
Structure: optimized geometry

a = 4.6405 Å, b = 4.6405 Å, c = 4.6405 Å
α = 90.00°, β = 90.00°, γ = 90.00°
Last column: nearest neighbours and their distance in Å.
Fractional coordinates of all 5 atoms:
Li 0.0000 0.5000 0.0000  2 Rb 2.32
Li 0.5000 0.0000 0.0000  2 Rb 2.32
Li 0.0000 0.0000 0.5000  2 Rb 2.32
Rb 0.0000 0.0000 0.0000  6 Li 2.32
Ru 0.5000 0.5000 0.5000  12 Li 3.28

Values from the calculation:
Space-group type: Pm-3m (221)
Spin magnetization in μB per formula unit: 0.0



Tell me which of them is the least stable. Sure, it is x.



## w
Compound: RbLiRu3
Source: Alexandria via LeMat-Bulk
Functional: GGA-PBE
Structure: optimized geometry

a = 4.5120 Å, b = 4.5120 Å, c = 4.5120 Å
α = 90.00°, β = 90.00°, γ = 90.00°
Last column: nearest neighbours and their distance in Å.
Fractional coordinates of all 5 atoms:
Li 0.0000 0.0000 0.0000  6 Ru 2.26
Ru 0.5000 0.0000 0.0000  2 Li 2.26
Ru 0.0000 0.0000 0.5000  2 Li 2.26
Ru 0.0000 0.5000 0.0000  2 Li 2.26
Rb 0.5000 0.5000 0.5000  12 Ru 3.19

Values from the calculation:
Space-group type: Pm-3m (221)
Spin magnetization in μB per formula unit: 4.3



## x
Compound: RbLiRu3
Source: Alexandria via LeMat-Bulk
Functional: GGA-PBE
Structure: optimized geometry

a = 4.8795 Å, b = 4.8795 Å, c = 4.8795 Å
α = 90.00°, β = 90.00°, γ = 90.00°
Last column: nearest neighbours and their distance in Å.
Fractional coordinates of all 5 atoms:
Ru 0.0000 0.5000 0.0000  2 Rb 2.44
Ru 0.0000 0.0000 0.5000  2 Rb 2.44
Ru 0.5000 0.0000 0.0000  2 Rb 2.44
Li 0.5000 0.5000 0.5000  12 Ru 3.45
Rb 0.0000 0.0000 0.0000  6 Ru 2.44

Values from the calculation:
Space-group type: Pm-3m (221)
Spin magnetization in μB per formula unit: 5.3



Tell me which of them is the least stable. Sure, it is x.